DFT (GGA-PBE) results for a geometry-optimized Ce2AlP3Rh4 structure.

POSCAR file:
```
Ce2AlP3Rh4
1.0
4.057 0.000 0.000
0.000 4.057 0.000
0.000 0.000 10.120
P Rh Ce Al
3 4 2 1
direct
0.000 0.500 0.135
0.500 0.000 0.865
0.000 0.000 0.500
0.000 0.500 0.366
0.500 0.500 0.000
0.500 0.000 0.634
0.000 0.000 0.000
0.500 0.000 0.247
0.000 0.500 0.753
0.500 0.500 0.500
```

## Properties
volume: 16.7 Å³/atom
crystal system: tetragonal
Fermi-level density of states: 0.765 states/eV/atom
formation energy from the elements: -104.8 kJ/mol of atoms